An optimized crystal structure of MgAg2Mo. Source: the Alexandria database, functional GGA-PBE.

```
MgAg2Mo
1.0
5.025 -0.011 0.003
4.264 2.658 0.003
0.660 0.188 5.256
Ag Mg Mo
2 1 1
direct
0.999 0.999 0.004 Ag
0.501 0.501 0.496 Ag
0.750 0.750 0.750 Mg
0.250 0.250 0.250 Mo
```

Summary:
As for the crystal system: monoclinic. The total energy is -4.15 eV/atom. The formation energy comes out at 0.38 eV per atom.